RbTbVBr6 | the Alexandria database | PBE-GGA | optimized geometry; raw formation energy = -34.7 kcal/mol of atoms; SG = No. 163; magnetization = 6.00 μB/cell; calculated density = 3.79 Mg/m³
1.0
-3.925 0.045 5.869
0.849 -5.994 -3.634
12.749 -3.380 8.552
Br Tb V Rb
12 2 2 2
Direct
0.625 0.982 0.350 Br
0.375 0.018 0.650 Br
0.625 0.643 0.150 Br
0.357 0.982 0.150 Br
0.018 0.643 0.350 Br
0.643 0.625 0.650 Br
0.982 0.357 0.650 Br
0.643 0.018 0.850 Br
0.018 0.375 0.150 Br
0.357 0.375 0.350 Br
0.375 0.357 0.850 Br
0.982 0.625 0.850 Br
0.333 0.667 0.750 Tb
0.667 0.333 0.250 Tb
0.667 0.333 0.750 V
0.333 0.667 0.250 V
0.000 0.000 0.500 Rb
0.000 0.000 0.000 Rb